VASP calculation (PBE) on a relaxed SrHoAs2Pd5 crystal.

The calculation puts the energy at -47.5 eV for the cell shown. The total magnetization comes out at 0.00 μB per cell. The formation energy comes out at -0.6638 eV/atom.

Cell and atoms, written as CIF:
```
data_SrHoAs2Pd5
_symmetry_space_group_name_H-M 'P 4/m m m'
_symmetry_Int_Tables_number 123
_symmetry_space_group_name_Hall '-P 4 2'
_cell_length_a 4.3852
_cell_length_b 4.3852
_cell_length_c 8.9232
_cell_angle_alpha 90.00
_cell_angle_beta 90.00
_cell_angle_gamma 90.00
loop_
_atom_site_label
_atom_site_type_symbol
_atom_site_fract_x
_atom_site_fract_y
_atom_site_fract_z
Sr1 Sr 0.0000 0.0000 0.0000
Ho1 Ho 0.0000 0.0000 0.5000
As1 As 0.5000 0.5000 0.3621
Pd1 Pd 0.0000 0.5000 0.2395
Pd2 Pd 0.5000 0.5000 0.0000
```

=====

VASP calculation (PBE) on a relaxed Sr2HoAs4Pd3 crystal.

The calculation puts the energy at -51.2 eV for the cell shown. The total magnetization comes out at 0.00 μB per cell. The formation energy comes out at -0.9104 eV/atom.

Cell and atoms, written as CIF:
```
data_Sr2HoAs4Pd3
_symmetry_space_group_name_H-M 'P -4 m 2'
_symmetry_Int_Tables_number 115
_symmetry_space_group_name_Hall 'P -4 -2'
_cell_length_a 4.4348
_cell_length_b 4.4348
_cell_length_c 11.2353
_cell_angle_alpha 90.00
_cell_angle_beta 90.00
_cell_angle_gamma 90.00
loop_
_atom_site_label
_atom_site_type_symbol
_atom_site_fract_x
_atom_site_fract_y
_atom_site_fract_z
Sr1 Sr 0.0000 0.5000 0.2301
Ho1 Ho 0.0000 0.0000 0.5000
As1 As 0.0000 0.0000 0.0000
As2 As 0.0000 0.5000 0.6528
As3 As 0.5000 0.5000 0.0000
Pd1 Pd 0.0000 0.5000 0.8844
Pd2 Pd 0.5000 0.5000 0.5000
```

=====

VASP calculation (PBE) on a relaxed Ho6Te3AsPd2 crystal.

The value obtained for the uncorrected formation energy is -1.1556 eV per atom. The calculation puts the energy at -131.6 eV for the cell shown. The total magnetization comes out at 0.00 μB per cell.

Cell and atoms, written as CIF:
```
data_Ho6Te3AsPd2
_symmetry_space_group_name_H-M 'C 1 2/m 1'
_symmetry_Int_Tables_number 12
_symmetry_space_group_name_Hall '-C 2y'
_cell_length_a 7.1877
_cell_length_b 12.5121
_cell_length_c 7.5776
_cell_angle_alpha 90.00
_cell_angle_beta 108.72
_cell_angle_gamma 90.00
loop_
_atom_site_label
_atom_site_type_symbol
_atom_site_fract_x
_atom_site_fract_y
_atom_site_fract_z
Ho1 Ho 0.2346 0.0000 0.2178
Ho2 Ho 0.2410 0.3312 0.2177
Te1 Te 0.0000 0.0000 0.5000
Te2 Te 0.0000 0.3364 0.5000
As1 As 0.0000 0.5000 0.0000
Pd1 Pd 0.0000 0.1675 0.0000
```

=====

VASP calculation (PBE) on a relaxed PmHoAs crystal.

The calculation puts the energy at -64.2 eV for the cell shown. The total magnetization comes out at 1.77 μB per cell. The relative energy among the computed polymorphs comes out at 155 meV/atom. The formation energy comes out at -0.6891 eV/atom.

Cell and atoms, written as CIF:
```
data_PmHoAs
_symmetry_space_group_name_H-M 'C m c m'
_symmetry_Int_Tables_number 63
_symmetry_space_group_name_Hall '-C 2c 2'
_cell_length_a 3.7920
_cell_length_b 22.6511
_cell_length_c 3.7687
_cell_angle_alpha 90.00
_cell_angle_beta 90.00
_cell_angle_gamma 90.00
loop_
_atom_site_label
_atom_site_type_symbol
_atom_site_fract_x
_atom_site_fract_y
_atom_site_fract_z
Pm1 Pm 0.0000 0.0677 0.2500
Ho1 Ho 0.0000 0.2055 0.2500
As1 As 0.0000 0.3514 0.2500
```